# 1
! BaZrBi3 (GGA-PBE, relaxed); values from VASP
! Symmetry ... I4/mcm, No. 140
! VASP energy ... -4.018 eV per atom
! Crystal system ... tetragonal
&SYSTEM
  ibrav = 0, nat = 10, ntyp = 3
/
ATOMIC_SPECIES
Bi 208.98 Bi.upf
Ba 137.33 Ba.upf
Zr 91.22 Zr.upf
CELL_PARAMETERS angstrom
-4.114 4.114 6.085
4.114 -4.114 6.085
4.114 4.114 -6.085
ATOMIC_POSITIONS angstrom
Bi -1.002 3.111 6.085
Bi 1.002 3.111 0.000
Bi 3.111 1.002 6.085
Bi 0.000 0.000 3.042
Bi 5.116 1.002 0.000
Bi 0.000 0.000 9.127
Ba 0.000 0.000 6.085
Ba 0.000 0.000 0.000
Zr 0.000 4.114 3.042
Zr 4.114 0.000 3.042

# 2
! NbTcTe (GGA-PBE, relaxed); values from VASP
! Symmetry ... F-43m, No. 216
! Crystal system ... cubic
! E above lowest polymorph ... 0.0 meV/atom
&SYSTEM
  ibrav = 0, nat = 3, ntyp = 3
/
ATOMIC_SPECIES
Tc 98.00 Tc.upf
Te 127.60 Te.upf
Nb 92.91 Nb.upf
CELL_PARAMETERS angstrom
-0.398 -4.369 -0.415
1.086 -2.640 3.357
-3.142 -2.147 2.221
ATOMIC_POSITIONS angstrom
Tc 0.000 0.000 0.000
Te -1.840 -6.867 3.872
Nb -0.613 -2.289 1.291

# 3
! LaCdInTe3 (GGA-PBE, relaxed); values from VASP
! Symmetry ... Pnma, No. 62
! Crystal system ... orthorhombic
! E above lowest polymorph ... 17.0 meV/atom
&SYSTEM
  ibrav = 0, nat = 24, ntyp = 4
/
ATOMIC_SPECIES
Te 127.60 Te.upf
La 138.91 La.upf
In 114.82 In.upf
Cd 112.41 Cd.upf
CELL_PARAMETERS angstrom
4.746 0.000 0.000
0.000 12.804 0.000
0.000 0.000 13.396
ATOMIC_POSITIONS angstrom
Te 3.560 7.605 0.796
Te 1.187 0.438 11.475
Te 3.560 12.367 1.920
Te 3.560 3.582 9.083
Te 1.187 6.840 8.618
Te 3.560 9.984 11.011
Te 1.187 9.223 4.313
Te 1.187 5.199 12.599
Te 1.187 11.602 7.494
Te 1.187 2.820 2.385
Te 3.560 5.965 4.777
Te 3.560 1.203 5.902
La 1.187 6.171 2.491
La 3.560 6.633 10.905
La 1.187 12.574 4.207
La 3.560 0.231 9.189
In 3.560 8.649 6.798
In 1.187 4.155 6.597
In 3.560 2.247 13.295
In 1.187 10.558 0.101
Cd 3.560 9.651 2.737
Cd 1.187 9.556 9.435
Cd 3.560 3.249 3.961
Cd 1.187 3.154 10.659

# 4
! SmYMo (GGA-PBE, relaxed); values from VASP
! Symmetry ... F-43m, No. 216
! Formation energy ... 1269 meV/atom
! Crystal system ... cubic
! E above lowest polymorph ... 0.0 meV/atom
&SYSTEM
  ibrav = 0, nat = 3, ntyp = 3
/
ATOMIC_SPECIES
Sm 150.36 Sm.upf
Y 88.91 Y.upf
Mo 95.94 Mo.upf
CELL_PARAMETERS angstrom
2.512 -4.106 -1.189
-1.976 -3.294 -3.135
1.881 -0.522 -4.557
ATOMIC_POSITIONS angstrom
Sm 1.813 -5.941 -6.661
Y 0.000 0.000 0.000
Mo 0.604 -1.980 -2.220

Looking at density for the records above, in order, we have 6.90, 8.74, 6.11, 6.46 Mg/m³.